Density functional theory data (SCAN) for NiAuBr at its PBEsol-relaxed geometry.

Output
Size of the total moment (μB/cell): 4.176
Volume (Å³ per cell): 238.9
E_form (uncorrected) (eV/atom): 0.766
Calculated total energy (eV/atom): -34.1637

```
data_NiAuBr
_cell_length_a 6.205
_cell_length_b 6.205
_cell_length_c 6.205
_cell_angle_alpha 90.00
_cell_angle_beta 90.00
_cell_angle_gamma 90.00
_space_group_name_H-M_alt 'F -4 3 m'
_space_group_IT_number 216
_space_group_name_Hall 'F -4 2 3'
loop_
_atom_site_label
_atom_site_fract_x
_atom_site_fract_y
_atom_site_fract_z
Ni1 0.000 0.000 0.000
Au1 0.250 0.250 0.750
Br1 0.000 0.000 0.500
```

Density functional theory data (SCAN) for K2MgCo at its PBEsol-relaxed geometry.

Output
Calculated formation energy (eV/atom): 0.86
Size of the total moment (μB/cell): 4.291
Volume (Å³ per cell): 236.7
Calculated total energy (eV/atom): -8.8772

```
data_K2MgCo
_cell_length_a 6.449
_cell_length_b 10.881
_cell_length_c 3.372
_cell_angle_alpha 90.00
_cell_angle_beta 90.00
_cell_angle_gamma 90.00
_space_group_name_H-M_alt 'C m m m'
_space_group_IT_number 65
_space_group_name_Hall '-C 2 2'
loop_
_atom_site_label
_atom_site_fract_x
_atom_site_fract_y
_atom_site_fract_z
K1 0.250 0.250 0.000
Mg1 0.000 0.000 0.500
Co1 0.000 0.500 0.500
```

Density functional theory data (SCAN) for CaCoSi3 at its PBEsol-relaxed geometry.

Output
Size of the total moment (μB/cell): 3.303
Volume (Å³ per cell): 126.2
E_form (uncorrected) (eV/atom): 2.120
Calculated total energy (eV/atom): -9.2832

```
data_CaCoSi3
_cell_length_a 5.016
_cell_length_b 5.016
_cell_length_c 5.016
_cell_angle_alpha 90.00
_cell_angle_beta 90.00
_cell_angle_gamma 90.00
_space_group_name_H-M_alt 'P m -3 m'
_space_group_IT_number 221
_space_group_name_Hall '-P 4 2 3'
loop_
_atom_site_label
_atom_site_fract_x
_atom_site_fract_y
_atom_site_fract_z
Ca1 0.000 0.000 0.000
Co1 0.500 0.500 0.500
Si1 0.000 0.000 0.500
```

- The highest size of the total moment belongs to which entry?
  K2MgCo

- Among the records above, which one has the lowest size of the total moment?
  CaCoSi3